{
  "formula": "Mg2AgAu",
  "functional": "PBEsol",
  "state": "optimized geometry",
  "lattice": [[3.989, 0.001, 0.000], [0.001, 3.956, -0.001], [-1.996, -1.979, 4.391]],
  "species": ["Mg", "Mg", "Au", "Ag"],
  "frac_coords": [[0.001, 0.001, 0.001], [0.750, 0.250, 0.499], [0.250, 0.750, 0.500], [0.500, 0.500, 0.000]],
  "dft_energy_ev_per_atom": -3.065,
  "e_form_ev_per_fu": -1.59,
  "m_tot_mub_per_atom": 0.000,
  "sg": "Imm2",
  "dos_at_fermi_per_ev_cell": 0.89
}

{
  "formula": "MgAgAu",
  "functional": "PBEsol",
  "state": "optimized geometry",
  "lattice": [[-0.947, 1.684, -2.362], [-3.018, -2.332, -0.452], [-0.361, 2.830, 4.133]],
  "species": ["Ag", "Mg", "Au"],
  "frac_coords": [[0.001, 0.001, 0.002], [0.670, 0.670, 0.339], [0.330, 0.330, 0.659]],
  "dft_energy_ev_per_atom": -3.330,
  "e_form_ev_per_fu": -1.04,
  "m_tot_mub_per_atom": 0.000,
  "sg": "Imm2",
  "dos_at_fermi_per_ev_cell": 0.85
}

{
  "formula": "Mg2AgAu",
  "functional": "PBEsol",
  "state": "optimized geometry",
  "lattice": [[4.616, 0.000, 0.000], [2.308, 3.998, 0.000], [2.308, 1.333, 3.769]],
  "species": ["Ag", "Mg", "Mg", "Au"],
  "frac_coords": [[0.000, 0.000, 0.000], [0.250, 0.250, 0.250], [0.750, 0.750, 0.750], [0.500, 0.500, 0.500]],
  "dft_energy_ev_per_atom": -3.111,
  "e_form_ev_per_fu": -1.77,
  "m_tot_mub_per_atom": 0.000,
  "sg": "Fm-3m",
  "dos_at_fermi_per_ev_cell": 1.06
}

{
  "formula": "Mg2AgAu",
  "functional": "PBEsol",
  "state": "optimized geometry",
  "lattice": [[-1.489, 2.429, -1.613], [-3.769, -2.620, -0.465], [-1.635, 1.645, 3.989]],
  "species": ["Ag", "Mg", "Mg", "Au"],
  "frac_coords": [[0.500, 0.000, 0.625], [0.000, 0.500, 0.625], [0.000, 0.000, 0.125], [0.500, 0.500, 0.125]],
  "dft_energy_ev_per_atom": -3.097,
  "e_form_ev_per_fu": -1.72,
  "m_tot_mub_per_atom": 0.000,
  "sg": "P4/mmm",
  "dos_at_fermi_per_ev_cell": 1.17
}

{
  "formula": "MgTi2AgAu",
  "functional": "PBEsol",
  "state": "optimized geometry",
  "lattice": [[-1.530, 4.274, -0.550], [-4.333, -1.379, 1.341], [1.088, 0.970, 4.511]],
  "species": ["Au", "Ti", "Ti", "Mg", "Ag"],
  "frac_coords": [[0.500, 0.000, 0.000], [0.000, 0.000, 0.500], [0.000, 0.500, 0.000], [0.000, 0.000, 0.000], [0.500, 0.500, 0.500]],
  "dft_energy_ev_per_atom": -3.961,
  "e_form_ev_per_fu": 5.79,
  "m_tot_mub_per_atom": 0.000,
  "sg": "P4/mmm",
  "dos_at_fermi_per_ev_cell": 6.66
}

{
  "formula": "MnAg3Au",
  "functional": "PBEsol",
  "state": "optimized geometry",
  "lattice": [[4.734, 0.000, 0.000], [0.000, 4.734, 0.000], [0.000, 0.000, 4.734]],
  "species": ["Au", "Ag", "Ag", "Ag", "Mn"],
  "frac_coords": [[0.500, 0.500, 0.500], [0.000, 0.500, 0.000], [0.500, 0.000, 0.000], [0.000, 0.000, 0.500], [0.000, 0.000, 0.000]],
  "dft_energy_ev_per_atom": -3.549,
  "e_form_ev_per_fu": 5.87,
  "m_tot_mub_per_atom": 0.909,
  "sg": "Pm-3m",
  "dos_at_fermi_per_ev_cell": 2.99
}

{
  "formula": "Mn2AgAu",
  "functional": "PBEsol",
  "state": "optimized geometry",
  "lattice": [[-0.677, 2.766, -2.669], [-3.842, -0.574, 0.380], [2.132, 1.677, 4.051]],
  "species": ["Mn", "Mn", "Au", "Ag"],
  "frac_coords": [[0.000, 0.000, 0.000], [0.750, 0.250, 0.500], [0.250, 0.750, 0.500], [0.500, 0.500, 0.000]],
  "dft_energy_ev_per_atom": -6.415,
  "e_form_ev_per_fu": 1.10,
  "m_tot_mub_per_atom": 1.961,
  "sg": "I-4m2",
  "dos_at_fermi_per_ev_cell": 2.82
}

{
  "formula": "MnReAg2Au",
  "functional": "PBEsol",
  "state": "optimized geometry",
  "lattice": [[4.282, 0.000, 0.000], [0.000, 4.689, 0.000], [0.000, 0.000, 4.689]],
  "species": ["Au", "Re", "Ag", "Ag", "Mn"],
  "frac_coords": [[0.500, 0.500, 0.500], [0.500, 0.000, 0.000], [0.000, 0.000, 0.500], [0.000, 0.500, 0.000], [0.000, 0.000, 0.000]],
  "dft_energy_ev_per_atom": -5.253,
  "e_form_ev_per_fu": 7.37,
  "m_tot_mub_per_atom": 0.329,
  "sg": "P4/mmm",
  "dos_at_fermi_per_ev_cell": 4.51
}

{
  "formula": "Sc2MnAgAu",
  "functional": "PBEsol",
  "state": "optimized geometry",
  "lattice": [[-2.218, 3.887, 1.797], [-3.638, -2.958, 1.907], [2.639, -0.478, 4.292]],
  "species": ["Sc", "Sc", "Au", "Ag", "Mn"],
  "frac_coords": [[0.000, 0.500, 0.000], [0.000, 0.000, 0.500], [0.000, 0.000, 0.000], [0.500, 0.500, 0.500], [0.500, 0.000, 0.000]],
  "dft_energy_ev_per_atom": -5.569,
  "e_form_ev_per_fu": 2.36,
  "m_tot_mub_per_atom": 0.713,
  "sg": "P4/mmm",
  "dos_at_fermi_per_ev_cell": 5.13
}

{
  "formula": "AgMoAu2",
  "functional": "PBEsol",
  "state": "optimized geometry",
  "lattice": [[2.715, 0.000, 0.000], [-1.358, 4.621, 0.017], [0.000, -0.668, 5.210]],
  "species": ["Ag", "Au", "Au", "Mo"],
  "frac_coords": [[0.500, 0.000, 0.000], [0.747, 0.493, 0.743], [0.253, 0.507, 0.257], [0.000, 0.000, 0.500]],
  "dft_energy_ev_per_atom": -5.426,
  "e_form_ev_per_fu": 1.22,
  "m_tot_mub_per_atom": 0.000,
  "sg": "C2/m",
  "dos_at_fermi_per_ev_cell": 2.97
}

{
  "formula": "AgMoAu2",
  "functional": "PBEsol",
  "state": "optimized geometry",
  "lattice": [[-2.501, 0.322, 1.090], [-0.580, -4.881, 0.111], [3.505, 2.149, 3.946]],
  "species": ["Ag", "Au", "Au", "Mo"],
  "frac_coords": [[0.248, 0.748, 0.497], [0.004, 0.004, 0.008], [0.755, 0.255, 0.509], [0.493, 0.493, 0.986]],
  "dft_energy_ev_per_atom": -5.381,
  "e_form_ev_per_fu": 1.40,
  "m_tot_mub_per_atom": 0.161,
  "sg": "Imm2",
  "dos_at_fermi_per_ev_cell": 4.37
}

{
  "formula": "AgMo3Au",
  "functional": "PBEsol",
  "state": "optimized geometry",
  "lattice": [[4.677, 0.000, 0.000], [0.000, 4.677, 0.000], [0.000, 0.000, 4.677]],
  "species": ["Mo", "Mo", "Mo", "Au", "Ag"],
  "frac_coords": [[0.000, 0.000, 0.500], [0.500, 0.000, 0.000], [0.000, 0.500, 0.000], [0.500, 0.500, 0.500], [0.000, 0.000, 0.000]],
  "dft_energy_ev_per_atom": -6.026,
  "e_form_ev_per_fu": 12.41,
  "m_tot_mub_per_atom": 0.000,
  "sg": "Pm-3m",
  "dos_at_fermi_per_ev_cell": 7.53
}

{
  "formula": "AgMoAu2",
  "functional": "PBEsol",
  "state": "optimized geometry",
  "lattice": [[4.128, 0.000, 0.000], [0.000, 4.128, 0.000], [-2.064, -2.064, 3.834]],
  "species": ["Au", "Au", "Mo", "Ag"],
  "frac_coords": [[0.750, 0.250, 0.500], [0.000, 0.000, 0.000], [0.500, 0.500, 0.000], [0.250, 0.750, 0.500]],
  "dft_energy_ev_per_atom": -5.326,
  "e_form_ev_per_fu": 1.62,
  "m_tot_mub_per_atom": 0.260,
  "sg": "I-4m2",
  "dos_at_fermi_per_ev_cell": 3.56
}

{
  "formula": "AgAuSN2",
  "functional": "PBEsol",
  "state": "optimized geometry",
  "lattice": [[-3.762, -0.461, -0.926], [1.017, -1.015, -3.627], [0.255, -5.098, 1.499]],
  "species": ["Ag", "Au", "N", "N", "S"],
  "frac_coords": [[0.000, 0.000, 0.000], [0.500, 0.500, 0.500], [0.000, 0.500, 0.000], [0.500, 0.000, 0.000], [0.000, 0.000, 0.500]],
  "dft_energy_ev_per_atom": -3.868,
  "raw_formation_energy_ev_per_atom": 1.87,
  "m_tot_mub_per_atom": 0.685,
  "sg": "P4/mmm",
  "dos_at_fermi_per_ev_cell": 2.51
}

{
  "formula": "SrAg2AuN",
  "functional": "PBEsol",
  "state": "optimized geometry",
  "lattice": [[-0.981, 0.461, -3.865], [2.262, -4.845, -1.152], [-4.797, -2.460, 0.924]],
  "species": ["Ag", "Ag", "Sr", "N", "Au"],
  "frac_coords": [[0.000, 0.000, 0.500], [0.000, 0.500, 0.000], [0.000, 0.000, 0.000], [0.500, 0.000, 0.000], [0.500, 0.500, 0.500]],
  "dft_energy_ev_per_atom": -2.710,
  "raw_formation_energy_ev_per_atom": 1.47,
  "m_tot_mub_per_atom": 0.000,
  "sg": "P4/mmm",
  "dos_at_fermi_per_ev_cell": 2.04
}

{
  "formula": "Na2AgAu",
  "functional": "PBEsol",
  "state": "optimized geometry",
  "lattice": [[-2.715, -4.657, -1.047], [1.931, -5.063, 3.113], [-4.963, -1.157, 3.618]],
  "species": ["Au", "Au", "Ag", "Ag", "Na", "Na", "Na", "Na"],
  "frac_coords": [[0.000, 0.000, 0.000], [0.750, 0.500, 0.500], [0.500, 0.000, 0.000], [0.250, 0.500, 0.500], [0.122, 0.503, 0.003], [0.875, 0.003, 0.497], [0.628, 0.497, 0.997], [0.375, 0.997, 0.503]],
  "dft_energy_ev_per_atom": -2.453,
  "e_form_ev_per_fu": 0.22,
  "m_tot_mub_per_atom": 0.000,
  "sg": "I-42d",
  "dos_at_fermi_per_ev_cell": 2.27
}

{
  "formula": "NaAg2Au",
  "functional": "PBEsol",
  "state": "optimized geometry",
  "lattice": [[-3.132, -2.766, 2.017], [-2.366, -3.072, -2.549], [0.859, -4.538, 0.448]],
  "species": ["Au", "Na", "Ag", "Ag"],
  "frac_coords": [[0.500, 0.500, 0.500], [0.000, 0.000, 0.000], [0.250, 0.250, 0.250], [0.750, 0.750, 0.750]],
  "dft_energy_ev_per_atom": -3.016,
  "e_form_ev_per_fu": -0.12,
  "m_tot_mub_per_atom": 0.000,
  "sg": "Fm-3m",
  "dos_at_fermi_per_ev_cell": 0.97
}

{
  "formula": "NaAgAu3",
  "functional": "PBEsol",
  "state": "optimized geometry",
  "lattice": [[5.053, 0.000, 0.000], [0.000, 5.053, 0.000], [0.000, 0.000, 5.053]],
  "species": ["Au", "Au", "Au", "Na", "Ag"],
  "frac_coords": [[0.000, 0.000, 0.500], [0.000, 0.500, 0.000], [0.500, 0.000, 0.000], [0.500, 0.500, 0.500], [0.000, 0.000, 0.000]],
  "dft_energy_ev_per_atom": -2.846,
  "e_form_ev_per_fu": 2.25,
  "m_tot_mub_per_atom": 0.000,
  "sg": "Pm-3m",
  "dos_at_fermi_per_ev_cell": 1.46
}

{
  "formula": "NdAgAu2",
  "functional": "PBEsol",
  "state": "optimized geometry",
  "lattice": [[-2.795, -3.282, -2.309], [2.027, -3.178, -3.116], [0.300, -4.735, 1.187]],
  "species": ["Nd", "Au", "Au", "Ag"],
  "frac_coords": [[0.000, 0.000, 0.000], [0.250, 0.250, 0.250], [0.750, 0.750, 0.750], [0.500, 0.500, 0.500]],
  "dft_energy_ev_per_atom": -4.618,
  "e_form_ev_per_fu": -2.15,
  "m_tot_mub_per_atom": 0.000,
  "sg": "Fm-3m",
  "dos_at_fermi_per_ev_cell": 1.78
}

{
  "formula": "NiAgAu4",
  "functional": "PBEsol",
  "state": "optimized geometry",
  "lattice": [[5.320, 0.000, 0.000], [2.660, 4.608, 0.000], [2.660, 1.536, 4.344]],
  "species": ["Au", "Au", "Au", "Au", "Ni", "Ag"],
  "frac_coords": [[0.875, 0.375, 0.375], [0.375, 0.375, 0.875], [0.375, 0.875, 0.375], [0.375, 0.375, 0.375], [0.750, 0.750, 0.750], [0.000, 0.000, 0.000]],
  "dft_energy_ev_per_atom": -3.837,
  "e_form_ev_per_fu": 2.14,
  "m_tot_mub_per_atom": 0.035,
  "sg": "F-43m",
  "dos_at_fermi_per_ev_cell": 4.51
}

{
  "formula": "NiAg2Au",
  "functional": "PBEsol",
  "state": "optimized geometry",
  "lattice": [[-0.705, -3.198, 2.965], [-1.438, -3.961, -1.324], [2.696, -3.495, 0.161]],
  "species": ["Ni", "Ag", "Ag", "Au"],
  "frac_coords": [[0.500, 0.500, 0.500], [0.250, 0.250, 0.250], [0.750, 0.750, 0.750], [0.000, 0.000, 0.000]],
  "dft_energy_ev_per_atom": -3.998,
  "e_form_ev_per_fu": 0.71,
  "m_tot_mub_per_atom": 0.000,
  "sg": "Fm-3m",
  "dos_at_fermi_per_ev_cell": 1.69
}

{
  "formula": "Ni2AgSbAu",
  "functional": "PBEsol",
  "state": "optimized geometry",
  "lattice": [[-2.158, -2.538, 3.102], [3.973, -0.886, 2.038], [-0.572, 3.946, 2.831]],
  "species": ["Au", "Ni", "Ni", "Ag", "Sb"],
  "frac_coords": [[0.000, 0.000, 0.500], [0.500, 0.000, 0.000], [0.000, 0.500, 0.000], [0.000, 0.000, 0.000], [0.500, 0.500, 0.500]],
  "dft_energy_ev_per_atom": -3.711,
  "raw_formation_energy_ev_per_atom": 1.11,
  "m_tot_mub_per_atom": 0.105,
  "sg": "P4/mmm",
  "dos_at_fermi_per_ev_cell": 7.07
}

{
  "formula": "AgAuO3",
  "functional": "PBEsol",
  "state": "optimized geometry",
  "lattice": [[7.139, 0.000, 0.000], [3.569, 6.182, 0.000], [3.569, 2.061, 5.829]],
  "species": ["O", "O", "O", "O", "O", "O", "O", "O", "O", "O", "O", "O", "Au", "Au", "Au", "Au", "Ag", "Ag", "Ag", "Ag"],
  "frac_coords": [[0.033, 0.033, 0.467], [0.033, 0.467, 0.467], [0.217, 0.783, 0.783], [0.033, 0.467, 0.033], [0.467, 0.033, 0.467], [0.467, 0.033, 0.033], [0.783, 0.217, 0.217], [0.467, 0.467, 0.033], [0.783, 0.217, 0.783], [0.217, 0.783, 0.217], [0.217, 0.217, 0.783], [0.783, 0.783, 0.217], [0.125, 0.125, 0.625], [0.125, 0.625, 0.125], [0.125, 0.125, 0.125], [0.625, 0.125, 0.125], [0.625, 0.125, 0.625], [0.625, 0.625, 0.125], [0.625, 0.625, 0.625], [0.125, 0.625, 0.625]],
  "dft_energy_ev_per_atom": -4.578,
  "raw_formation_energy_ev_per_atom": 0.02,
  "m_tot_mub_per_atom": 0.000,
  "sg": "Fd-3m",
  "dos_at_fermi_per_ev_cell": 0.45
}

{
  "formula": "AgAuO3",
  "functional": "PBEsol",
  "state": "optimized geometry",
  "lattice": [[3.976, 0.000, 0.000], [0.000, 3.976, 0.000], [0.000, 0.000, 3.976]],
  "species": ["Ag", "O", "O", "O", "Au"],
  "frac_coords": [[0.000, 0.000, 0.000], [0.000, 0.500, 0.000], [0.000, 0.000, 0.500], [0.500, 0.000, 0.000], [0.500, 0.500, 0.500]],
  "dft_energy_ev_per_atom": -3.793,
  "raw_formation_energy_ev_per_atom": 0.80,
  "m_tot_mub_per_atom": 0.306,
  "sg": "Pm-3m",
  "dos_at_fermi_per_ev_cell": 5.28
}

{
  "formula": "AgOs2Au",
  "functional": "PBEsol",
  "state": "optimized geometry",
  "lattice": [[-1.432, -0.261, -2.254], [1.185, -4.576, -0.205], [-3.809, 1.282, 3.860]],
  "species": ["Ag", "Au", "Os", "Os"],
  "frac_coords": [[0.500, 0.000, 0.000], [0.000, 0.500, 0.000], [0.500, 0.500, 0.500], [0.000, 0.000, 0.500]],
  "dft_energy_ev_per_atom": -7.168,
  "e_form_ev_per_fu": 3.00,
  "m_tot_mub_per_atom": 0.000,
  "sg": "C2/m",
  "dos_at_fermi_per_ev_cell": 4.81
}

{
  "formula": "AgOsAu3",
  "functional": "PBEsol",
  "state": "optimized geometry",
  "lattice": [[-1.360, 0.313, -4.718], [-3.465, -3.406, 0.773], [-3.217, 3.537, 1.162]],
  "species": ["Ag", "Au", "Au", "Au", "Os"],
  "frac_coords": [[0.500, 0.500, 0.500], [0.000, 0.000, 0.500], [0.500, 0.000, 0.000], [0.000, 0.500, 0.000], [0.000, 0.000, 0.000]],
  "dft_energy_ev_per_atom": -4.037,
  "e_form_ev_per_fu": 7.11,
  "m_tot_mub_per_atom": 0.215,
  "sg": "Pm-3m",
  "dos_at_fermi_per_ev_cell": 4.70
}

{
  "formula": "AgOs2Au",
  "functional": "PBEsol",
  "state": "optimized geometry",
  "lattice": [[-1.222, 0.123, -2.403], [-3.827, 0.010, 1.946], [0.121, 5.297, 0.209]],
  "species": ["Au", "Ag", "Os", "Os"],
  "frac_coords": [[0.500, 0.500, 0.500], [0.500, 0.500, 0.000], [0.000, 0.000, 0.766], [0.000, 0.000, 0.234]],
  "dft_energy_ev_per_atom": -7.068,
  "e_form_ev_per_fu": 3.40,
  "m_tot_mub_per_atom": 0.000,
  "sg": "Pmmm",
  "dos_at_fermi_per_ev_cell": 3.99
}

{
  "formula": "AgOsAu2",
  "functional": "PBEsol",
  "state": "optimized geometry",
  "lattice": [[-0.987, -2.437, 3.664], [0.235, -4.501, -0.156], [3.276, -2.165, 2.218]],
  "species": ["Au", "Au", "Ag", "Os"],
  "frac_coords": [[0.250, 0.250, 0.250], [0.750, 0.750, 0.750], [0.000, 0.000, 0.000], [0.500, 0.500, 0.500]],
  "dft_energy_ev_per_atom": -5.173,
  "e_form_ev_per_fu": 2.68,
  "m_tot_mub_per_atom": 0.421,
  "sg": "Fm-3m",
  "dos_at_fermi_per_ev_cell": 4.10
}

{
  "formula": "AgOsAu2",
  "functional": "PBEsol",
  "state": "optimized geometry",
  "lattice": [[-0.412, -2.041, 1.790], [2.531, 1.033, -0.261], [-1.941, 6.520, 6.987]],
  "species": ["Au", "Au", "Ag", "Os"],
  "frac_coords": [[0.500, 0.500, 0.745], [0.000, 0.000, 0.002], [0.500, 0.500, 0.253], [0.000, 0.000, 0.499]],
  "dft_energy_ev_per_atom": -5.420,
  "e_form_ev_per_fu": 1.70,
  "m_tot_mub_per_atom": 0.029,
  "sg": "Cmm2",
  "dos_at_fermi_per_ev_cell": 3.84
}